Below is an optimized crystal structure of Sb2PIr, with properties calculated at the PBE level.

```
data_Sb2PIr
_chemical_formula_sum 'Sb8 P4 Ir4'
_cell_length_a 6.1760
_cell_length_b 6.1760
_cell_length_c 11.2929
_cell_angle_alpha 90.00
_cell_angle_beta 90.00
_cell_angle_gamma 90.00
_symmetry_space_group_name_H-M 'I -4 2 d'
_symmetry_Int_Tables_number 122
_symmetry_space_group_name_Hall 'I -4 2bw'
loop_
_atom_site_label
_atom_site_type_symbol
_atom_site_fract_x
_atom_site_fract_y
_atom_site_fract_z
_atom_site_occupancy
Sb1 Sb 0.2338 0.2500 0.1250 1
P1 P 0.0000 0.0000 0.5000 1
Ir1 Ir 0.0000 0.0000 0.0000 1
```

## Properties
The value obtained for the density of states at the Fermi level is 0.725 states/eV/cell. Its calculated total energy is -86.95 eV for the cell shown.

***

Below is an optimized crystal structure of Sb2PIr, with properties calculated at the PBE level.

```
data_Sb2PIr
_chemical_formula_sum 'Sb4 P2 Ir2'
_cell_length_a 4.2463
_cell_length_b 5.2842
_cell_length_c 7.3673
_cell_angle_alpha 90.00
_cell_angle_beta 90.00
_cell_angle_gamma 90.00
_symmetry_space_group_name_H-M 'A m m 2'
_symmetry_Int_Tables_number 38
loop_
_symmetry_equiv_pos_as_xyz
'x,y,z'
'-x,-y,z'
'-x,y,z'
'x,-y,z'
'x,y+1/2,z+1/2'
'-x,-y+1/2,z+1/2'
'-x,y+1/2,z+1/2'
'x,-y+1/2,z+1/2'
loop_
_atom_site_label
_atom_site_type_symbol
_atom_site_fract_x
_atom_site_fract_y
_atom_site_fract_z
_atom_site_occupancy
Sb1 Sb 0.0000 0.0000 0.0000 1
Sb2 Sb 0.5000 0.0000 0.3530 1
P1 P 0.0000 0.0000 0.6037 1
Ir1 Ir 0.5000 0.0000 0.7689 1
```

## Properties
The value obtained for the density of states at the Fermi level is 2.288 states/eV/cell. Its calculated total energy is -45.39 eV for the cell shown.

***

Below is an optimized crystal structure of Sb2PIr, with properties calculated at the PBE level.

```
data_Sb2PIr
_chemical_formula_sum 'Sb2 P1 Ir1'
_cell_length_a 4.9874
_cell_length_b 4.9874
_cell_length_c 3.1273
_cell_angle_alpha 90.00
_cell_angle_beta 90.00
_cell_angle_gamma 90.00
_symmetry_space_group_name_H-M 'P 4/m m m'
_symmetry_Int_Tables_number 123
_symmetry_space_group_name_Hall '-P 4 2'
loop_
_atom_site_label
_atom_site_type_symbol
_atom_site_fract_x
_atom_site_fract_y
_atom_site_fract_z
_atom_site_occupancy
Sb1 Sb 0.0000 0.5000 0.0000 1
P1 P 0.0000 0.0000 0.5000 1
Ir1 Ir 0.5000 0.5000 0.5000 1
```

## Properties
The value obtained for the density of states at the Fermi level is 2.889 states/eV/cell. Its calculated total energy is -20.68 eV for the cell shown.

***

Below is an optimized crystal structure of Sb2PIr, with properties calculated at the PBE level.

```
data_Sb2PIr
_chemical_formula_sum 'Sb4 P2 Ir2'
_cell_length_a 3.5266
_cell_length_b 3.5759
_cell_length_c 14.5250
_cell_angle_alpha 90.00
_cell_angle_beta 90.00
_cell_angle_gamma 90.00
_symmetry_space_group_name_H-M 'I m m m'
_symmetry_Int_Tables_number 71
_symmetry_space_group_name_Hall '-I 2 2'
loop_
_atom_site_label
_atom_site_type_symbol
_atom_site_fract_x
_atom_site_fract_y
_atom_site_fract_z
_atom_site_occupancy
Sb1 Sb 0.0000 0.0000 0.1482 1
P1 P 0.0000 0.5000 0.5000 1
Ir1 Ir 0.0000 0.5000 0.0000 1
```

## Properties
The value obtained for the density of states at the Fermi level is 4.112 states/eV/cell. Its calculated total energy is -44.13 eV for the cell shown.